## 1
Here is LiTlP2Cl after structural relaxation from the Alexandria database. Energies are from GGA-PBE.

```
LiTlP2Cl
1.0
-3.009 -0.519 4.124
4.151 -0.123 3.013
-0.236 5.845 0.564
P Cl Tl Li
2 1 1 1
direct
0.000 0.500 0.000
0.500 0.000 0.000
0.000 0.000 0.500
0.000 0.000 0.000
0.500 0.500 0.500
```

Results
- crystal system = tetragonal
- magnetic moment (Bohr magnetons per cell) = 1.391

***

## 2
Here is LiTlP2Cl after structural relaxation from the Alexandria database. Energies are from GGA-PBE.

```
LiTlP2Cl
1.0
4.436 0.000 0.000
0.000 4.436 0.000
0.000 0.000 5.974
P Li Cl Tl
2 1 1 1
direct
0.000 0.500 0.000
0.500 0.000 0.000
0.000 0.000 0.000
0.000 0.000 0.500
0.500 0.500 0.500
```

Results
- crystal system = tetragonal
- magnetic moment (Bohr magnetons per cell) = 0.316

***

Verdict on stability: 1 comes out at the bottom.

***

## 1
Here is LiP2WCl after structural relaxation from the Alexandria database. Energies are from GGA-PBE.

```
LiP2WCl
1.0
-2.617 3.697 1.088
-2.875 -2.749 2.426
2.862 0.771 4.265
Li Cl P W
1 1 2 1
direct
0.500 0.500 0.500
0.000 0.000 0.500
0.500 0.000 0.000
0.000 0.500 0.000
0.000 0.000 0.000
```

Results
- crystal system = tetragonal
- magnetic moment (Bohr magnetons per cell) = 0.000

***

## 2
Here is LiP2WCl after structural relaxation from the Alexandria database. Energies are from GGA-PBE.

```
LiP2WCl
1.0
4.347 0.000 0.000
0.000 4.347 0.000
0.000 0.000 4.159
P Li Cl W
2 1 1 1
direct
0.000 0.500 0.000
0.500 0.000 0.000
0.000 0.000 0.000
0.000 0.000 0.500
0.500 0.500 0.500
```

Results
- crystal system = tetragonal
- magnetic moment (Bohr magnetons per cell) = 0.000

***

Verdict on stability: 2 comes out at the bottom.

***

## 1
Here is LiZnP2Cl after structural relaxation from the Alexandria database. Energies are from GGA-PBE.

```
LiZnP2Cl
1.0
4.498 0.000 0.000
0.000 4.498 0.000
0.000 0.000 4.624
Zn P Li Cl
1 2 1 1
direct
0.500 0.500 0.500
0.500 0.000 0.000
0.000 0.500 0.000
0.000 0.000 0.000
0.000 0.000 0.500
```

Results
- crystal system = tetragonal
- magnetic moment (Bohr magnetons per cell) = 0.750

***

## 2
Here is LiZnP2Cl after structural relaxation from the Alexandria database. Energies are from GGA-PBE.

```
LiZnP2Cl
1.0
4.550 0.000 0.000
0.000 4.550 0.000
0.000 0.000 5.826
P Cl Li Zn
2 1 1 1
direct
0.000 0.500 0.000
0.500 0.000 0.000
0.000 0.000 0.500
0.500 0.500 0.500
0.000 0.000 0.000
```

Results
- crystal system = tetragonal
- magnetic moment (Bohr magnetons per cell) = 1.439

***

Verdict on stability: 1 comes out at the bottom.

***

## 1
Here is LiZrPCl2 after structural relaxation from the Alexandria database. Energies are from GGA-PBE.

```
LiZrPCl2
1.0
-3.911 3.115 -0.985
-2.025 -1.106 4.544
2.558 3.870 2.082
Li Zr Cl P
1 1 2 1
direct
0.500 0.500 0.500
0.000 0.000 0.000
0.500 0.000 0.000
0.000 0.500 0.000
0.000 0.000 0.500
```

Results
- crystal system = tetragonal
- magnetic moment (Bohr magnetons per cell) = 0.000

***

## 2
Here is LiZrPCl2 after structural relaxation from the Alexandria database. Energies are from GGA-PBE.

```
LiZrPCl2
1.0
-1.700 3.551 -1.475
-3.328 -0.551 2.509
2.449 2.775 3.857
Li Cl P Zr
1 2 1 1
direct
0.000 0.000 0.000
0.500 0.000 0.000
0.000 0.500 0.000
0.000 0.000 0.500
0.500 0.500 0.500
```

Results
- crystal system = tetragonal
- magnetic moment (Bohr magnetons per cell) = 0.000

***

Verdict on stability: 2 comes out at the bottom.

***

## 1
Here is Li2PaCl8 after structural relaxation from the Alexandria database. Energies are from GGA-PBE.

```
Li2PaCl8
1.0
-0.382 6.142 -3.562
-0.533 -4.282 -5.358
-5.655 0.738 3.846
Li Cl Pa
2 8 1
direct
0.000 0.247 0.753
0.000 0.753 0.247
0.355 0.274 0.274
0.862 0.088 0.339
0.862 0.339 0.088
0.500 0.776 0.224
0.138 0.661 0.912
0.500 0.224 0.776
0.138 0.912 0.661
0.645 0.726 0.726
0.500 0.000 0.000
```

Results
- crystal system = monoclinic
- magnetic moment (Bohr magnetons per cell) = 1.035

***

## 2
Here is Li2PaCl8 after structural relaxation from the Alexandria database. Energies are from GGA-PBE.

```
Li2PaCl8
1.0
-7.637 6.206 -0.870
-7.611 -1.065 3.126
0.758 9.539 5.303
Cl Pa Li
16 2 4
direct
0.187 0.426 0.678
0.311 0.823 0.595
0.708 0.926 0.178
0.850 0.063 0.810
0.271 0.323 0.095
0.729 0.677 0.905
0.689 0.177 0.405
0.277 0.563 0.310
0.723 0.437 0.690
0.186 0.178 0.462
0.826 0.322 0.038
0.813 0.574 0.322
0.174 0.678 0.962
0.814 0.822 0.538
0.292 0.074 0.822
0.150 0.937 0.190
0.007 0.250 0.750
0.993 0.750 0.250
0.401 0.268 0.401
0.599 0.732 0.599
0.930 0.768 0.901
0.070 0.232 0.099
```

Results
- crystal system = monoclinic
- magnetic moment (Bohr magnetons per cell) = 1.070

***

Verdict on stability: 1 comes out at the bottom.

***

## 1
Here is LiPb2Cl after structural relaxation from the Alexandria database. Energies are from GGA-PBE.

```
LiPb2Cl
1.0
5.505 0.000 0.000
0.000 5.505 0.000
0.000 0.000 3.361
Pb Cl Li
2 1 1
direct
0.000 0.000 0.000
0.500 0.500 0.000
0.500 0.000 0.500
0.000 0.500 0.500
```

Results
- crystal system = tetragonal
- magnetic moment (Bohr magnetons per cell) = 0.000

***

## 2
Here is LiPb2Cl after structural relaxation from the Alexandria database. Energies are from GGA-PBE.

```
LiPb2Cl
1.0
-4.097 1.419 -8.693
-2.788 -1.863 -9.117
-5.950 -1.397 -7.551
Pb Cl Li
2 1 1
direct
0.001 0.001 0.001
0.499 0.499 0.499
0.250 0.250 0.250
0.750 0.750 0.750
```

Results
- crystal system = trigonal
- magnetic moment (Bohr magnetons per cell) = 0.000

***

Verdict on stability: 2 comes out at the bottom.

***

## 1
Here is LiPd2Cl after structural relaxation from the Alexandria database. Energies are from GGA-PBE.

```
LiPd2Cl
1.0
0.000 3.146 3.146
3.146 0.000 3.146
3.146 3.146 0.000
Li Pd Cl
1 2 1
direct
0.000 0.000 0.000
0.750 0.750 0.750
0.250 0.250 0.250
0.500 0.500 0.500
```

Results
- crystal system = cubic
- magnetic moment (Bohr magnetons per cell) = 0.000

***

## 2
Here is LiPd2Cl after structural relaxation from the Alexandria database. Energies are from GGA-PBE.

```
LiPd2Cl
1.0
3.735 0.000 0.000
0.000 3.735 0.000
1.868 1.868 9.776
Cl Li Pd
2 2 4
direct
0.000 0.000 0.000
0.750 0.250 0.500
0.250 0.750 0.500
0.500 0.500 0.000
0.375 0.376 0.750
0.624 0.125 0.250
0.126 0.625 0.250
0.875 0.874 0.750
```

Results
- crystal system = tetragonal
- magnetic moment (Bohr magnetons per cell) = 0.000

***

Verdict on stability: 1 comes out at the bottom.

***

## 1
Here is LiPdCl3 after structural relaxation from the Alexandria database. Energies are from GGA-PBE.

```
LiPdCl3
1.0
-2.599 2.430 -3.373
2.790 -1.928 -3.540
-3.081 -3.796 -0.361
Pd Cl Li
1 3 1
direct
0.000 0.000 0.000
0.500 0.000 0.000
0.000 0.500 0.000
0.000 0.000 0.500
0.500 0.500 0.500
```

Results
- crystal system = cubic
- magnetic moment (Bohr magnetons per cell) = 0.000

***

## 2
Here is LiPdCl3 after structural relaxation from the Alexandria database. Energies are from GGA-PBE.

```
LiPdCl3
1.0
3.702 0.445 0.345
1.005 8.158 0.012
1.011 2.062 7.895
Cl Li Pd
6 2 2
direct
0.868 0.984 0.091
0.618 0.252 0.359
0.867 0.652 0.423
0.625 0.579 0.018
0.858 0.325 0.764
0.617 0.920 0.691
0.381 0.803 0.242
0.103 0.102 0.541
0.743 0.278 0.065
0.742 0.626 0.717
```

Results
- crystal system = monoclinic
- magnetic moment (Bohr magnetons per cell) = 0.000

***

## 3
Here is LiPdCl3 after structural relaxation from the Alexandria database. Energies are from GGA-PBE.

```
LiPdCl3
1.0
6.867 0.000 2.406
3.434 5.683 1.203
0.815 0.000 6.008
Li Cl Pd
2 6 2
direct
0.321 0.357 0.000
0.679 0.643 0.000
0.246 0.000 0.296
0.565 0.325 0.215
0.110 0.325 0.785
0.435 0.675 0.785
0.890 0.675 0.215
0.754 0.000 0.704
0.920 0.000 0.241
0.080 0.000 0.759
```

Results
- crystal system = monoclinic
- magnetic moment (Bohr magnetons per cell) = 1.992

***

Verdict on stability: 1 comes out at the bottom.

***

## 1
Here is LiPdCl after structural relaxation from the Alexandria database. Energies are from GGA-PBE.

```
LiPdCl
1.0
-3.371 2.591 -7.540
0.264 -4.959 7.089
-2.129 2.451 1.794
Li Cl Pd
2 2 2
direct
0.925 0.075 0.250
0.075 0.925 0.750
0.653 0.347 0.750
0.347 0.653 0.250
0.445 0.555 0.750
0.555 0.445 0.250
```

Results
- crystal system = orthorhombic
- magnetic moment (Bohr magnetons per cell) = 0.000

***

## 2
Here is LiPdCl after structural relaxation from the Alexandria database. Energies are from GGA-PBE.

```
LiPdCl
1.0
7.803 -0.024 -0.086
0.021 3.517 0.002
1.502 -1.771 4.315
Li Cl Pd
2 2 2
direct
0.081 0.813 0.615
0.585 0.672 0.341
0.023 0.158 0.304
0.658 0.983 0.964
0.335 0.347 0.687
0.340 0.063 0.119
```

Results
- crystal system = triclinic
- magnetic moment (Bohr magnetons per cell) = 0.000

***

Verdict on stability: 2 comes out at the bottom.

***

## 1
Here is LiPdCl after structural relaxation from the Alexandria database. Energies are from GGA-PBE.

```
LiPdCl
1.0
-3.799 6.188 -7.105
-3.079 -0.123 1.449
0.829 2.638 1.987
Pd Li Cl
2 2 2
direct
0.289 0.762 0.094
0.385 0.256 0.602
0.720 0.772 0.089
0.954 0.258 0.609
0.973 0.757 0.111
0.700 0.273 0.587
```

Results
- crystal system = triclinic
- magnetic moment (Bohr magnetons per cell) = 0.000

***

## 2
Here is LiPdCl after structural relaxation from the Alexandria database. Energies are from GGA-PBE.

```
LiPdCl
1.0
-0.574 -7.060 -8.692
3.329 -2.359 -4.220
3.392 1.348 4.598
Cl Li Pd
2 2 2
direct
0.486 0.434 0.905
0.514 0.905 0.434
0.943 0.785 0.054
0.057 0.054 0.785
0.000 0.242 0.242
0.500 0.102 0.102
```

Results
- crystal system = monoclinic
- magnetic moment (Bohr magnetons per cell) = 0.000

***

## 3
Here is LiPdCl after structural relaxation from the Alexandria database. Energies are from GGA-PBE.

```
LiPdCl
1.0
-3.165 -4.605 -5.577
2.966 -2.744 -2.565
-1.950 -0.137 4.369
Pd Cl Li
2 2 2
direct
0.396 0.367 0.633
0.604 0.633 0.367
0.174 0.072 0.928
0.826 0.928 0.072
0.786 0.249 0.751
0.214 0.751 0.249
```

Results
- crystal system = monoclinic
- magnetic moment (Bohr magnetons per cell) = 0.000

***

## 4
Here is LiPdCl after structural relaxation from the Alexandria database. Energies are from GGA-PBE.

```
LiPdCl
1.0
0.000 2.997 2.997
2.997 0.000 2.997
2.997 2.997 0.000
Li Pd Cl
1 1 1
direct
0.250 0.250 0.250
0.750 0.750 0.750
0.000 0.000 0.000
```

Results
- crystal system = cubic
- magnetic moment (Bohr magnetons per cell) = 0.000

***

Verdict on stability: 4 comes out at the bottom.

***

## 1
Here is LiPdCl after structural relaxation from the Alexandria database. Energies are from GGA-PBE.

```
LiPdCl
1.0
6.963 -0.076 0.001
-0.167 3.312 0.033
1.083 0.793 4.475
Cl Li Pd
2 2 2
direct
0.866 0.382 0.348
0.310 0.354 0.695
0.588 0.868 0.519
0.085 0.867 0.528
0.771 0.259 0.889
0.399 0.479 0.155
```

Results
- crystal system = triclinic
- magnetic moment (Bohr magnetons per cell) = 0.000

***

## 2
Here is LiPdCl after structural relaxation from the Alexandria database. Energies are from GGA-PBE.

```
LiPdCl
1.0
9.778 0.006 0.003
-0.103 3.367 0.000
-0.017 0.000 3.367
Cl Li Pd
2 2 2
direct
0.710 0.921 0.595
0.018 0.450 0.099
0.964 0.946 0.598
0.635 0.416 0.094
0.293 0.406 0.091
0.401 0.917 0.593
```

Results
- crystal system = triclinic
- magnetic moment (Bohr magnetons per cell) = 0.000

***

## 3
Here is LiPdCl after structural relaxation from the Alexandria database. Energies are from GGA-PBE.

```
LiPdCl
1.0
-1.682 1.505 -3.246
-1.881 -2.774 2.096
-4.081 6.717 5.230
Cl Pd Li
2 2 2
direct
0.000 0.000 0.250
0.000 0.000 0.750
0.000 0.000 0.000
0.000 0.000 0.500
0.667 0.333 0.750
0.333 0.667 0.250
```

Results
- crystal system = hexagonal
- magnetic moment (Bohr magnetons per cell) = 0.000

***

Verdict on stability: 3 comes out at the bottom.